1.
Density functional theory data (PBE) for a geometry-optimized Sr2BeBi structure.

The space group is I-42d (No. 122) and the conventional cell measures 5.959, 5.959 and 19.370 Å, with angles of 90.00, 90.00 and 90.00 degrees. The inequivalent atoms are Sr at (0.230, 0.250, 0.125), Be at (0.000, 0.000, 0.000) and Bi at (0.000, 0.000, 0.500).

The calculation puts the formation energy at 0.356 eV per atom. The energy relative to the lowest polymorph listed for this composition comes out at 0.4555 eV per atom. The density of states at the Fermi level comes out at 3.9 states/eV/cell. As for the final energy: -2.387 eV per atom. Its size of the total moment is 0.241 μB/atom.

***

2.
Density functional theory data (PBE) for a geometry-optimized SrCaCdBr2 structure.

The space group is P4/mmm (No. 123) and the conventional cell measures 5.797, 5.797 and 8.070 Å, with angles of 90.00, 90.00 and 90.00 degrees. The inequivalent atoms are Sr at (0.000, 0.000, 0.000), Ca at (0.000, 0.000, 0.500), Cd at (0.500, 0.500, 0.500) and Br at (0.000, 0.500, 0.000).

The density of states at the Fermi level comes out at 0.1 states/eV/cell. The calculation puts the formation energy (no corrections) at -0.726 eV per atom. As for the final energy: -2.315 eV per atom. Its size of the total moment is 0.000 μB/atom.

***

3.
Density functional theory data (PBE) for a geometry-optimized TbTi2Mo structure.

The space group is P4/mmm (No. 123) and the conventional cell measures 3.280, 3.280 and 7.397 Å, with angles of 90.00, 90.00 and 90.00 degrees. The inequivalent atoms are Tb at (0.000, 0.000, 0.000), Ti at (0.500, 0.500, 0.310) and Mo at (0.000, 0.000, 0.500).

The calculation puts the formation energy at 0.050 eV per atom. The density of states at the Fermi level comes out at 6.2 states/eV/cell. As for the final energy: -7.762 eV per atom. Its size of the total moment is 0.000 μB/atom.

***

4.
Density functional theory data (PBE) for a geometry-optimized SbTePb2S5 structure.

The space group is Cmc2_1 (No. 36) and the conventional cell measures 4.715, 18.253 and 11.439 Å, with angles of 90.00, 90.00 and 90.00 degrees. The inequivalent atoms are Sb at (0.000, 0.060, 0.000), Te at (0.000, 0.274, 0.587), Pb at (0.000, 0.375, 0.233), Pb at (0.000, 0.385, 0.839), S at (0.000, 0.019, 0.323), S at (0.000, 0.143, 0.548), S at (0.000, 0.170, 0.877), S at (0.000, 0.222, 0.188) and S at (0.000, 0.449, 0.592).

The density of states at the Fermi level comes out at 3.5 states/eV/cell. The calculation puts the formation energy (no corrections) at -0.179 eV per atom. As for the final energy: -4.103 eV per atom. Its size of the total moment is 0.000 μB/atom.

***

5.
Density functional theory data (PBE) for a geometry-optimized LaTl2Sb2 structure.

The space group is Cmcm (No. 63) and the conventional cell measures 4.543, 30.720 and 4.514 Å, with angles of 90.00, 90.00 and 90.00 degrees. The inequivalent atoms are La at (0.000, 0.168, 0.250), Tl at (0.000, 0.056, 0.750), Tl at (0.000, 0.446, 0.750), Sb at (0.000, 0.250, 0.750) and Sb at (0.000, 0.365, 0.250).

The energy relative to the lowest polymorph listed for this composition comes out at 0.0000 eV per atom. The density of states at the Fermi level comes out at 7.4 states/eV/cell. The calculation puts the formation energy (no corrections) at -0.519 eV per atom. As for the final energy: -4.100 eV per atom. Its size of the total moment is 0.000 μB/atom.

***

6.
Density functional theory data (PBE) for a geometry-optimized Cd2AuBr structure.

The space group is P2/m (No. 10) and the conventional cell measures 3.515, 3.491 and 7.874 Å, with angles of 90.00, 90.06 and 90.00 degrees. The inequivalent atoms are Cd at (0.002, 0.000, 0.203), Au at (0.500, 0.500, 0.000) and Br at (0.000, 0.500, 0.500).

The energy relative to the lowest polymorph listed for this composition comes out at 0.0127 eV per atom. The density of states at the Fermi level comes out at 1.4 states/eV/cell. The calculation puts the formation energy (no corrections) at -0.240 eV per atom. As for the final energy: -1.935 eV per atom. Its size of the total moment is 0.000 μB/atom.

***

7.
Density functional theory data (PBE) for a geometry-optimized Rb2ZrReSe structure.

The space group is P4/mmm (No. 123) and the conventional cell measures 7.180, 7.180 and 5.083 Å, with angles of 90.00, 90.00 and 90.00 degrees. The inequivalent atoms are Rb at (0.000, 0.500, 0.000), Zr at (0.000, 0.000, 0.000), Re at (0.500, 0.500, 0.500) and Se at (0.000, 0.000, 0.500).

The energy relative to the lowest polymorph listed for this composition comes out at 0.0619 eV per atom. The density of states at the Fermi level comes out at 7.6 states/eV/cell. The calculation puts the formation energy (no corrections) at 1.448 eV per atom. As for the final energy: -3.835 eV per atom. Its size of the total moment is 1.278 μB/atom.

***

8.
Density functional theory data (PBE) for a geometry-optimized Th2ZrPd9 structure.

The space group is P4/mmm (No. 123) and the conventional cell measures 4.177, 4.177 and 12.384 Å, with angles of 90.00, 90.00 and 90.00 degrees. The inequivalent atoms are Th at (0.000, 0.000, 0.173), Zr at (0.000, 0.000, 0.500), Pd at (0.000, 0.500, 0.000), Pd at (0.000, 0.500, 0.342), Pd at (0.500, 0.500, 0.171) and Pd at (0.500, 0.500, 0.500).

The calculation puts the formation energy at -0.859 eV per atom. The density of states at the Fermi level comes out at 2.2 states/eV/cell. As for the final energy: -6.702 eV per atom. Its size of the total moment is 0.000 μB/atom.

***

9.
Density functional theory data (PBE) for a geometry-optimized NaLaF2 structure.

The space group is Fm-3m (No. 225) and the conventional cell measures 6.564, 6.564 and 6.564 Å, with angles of 90.00, 90.00 and 90.00 degrees. The inequivalent atoms are Na at (0.000, 0.000, 0.000), La at (0.000, 0.000, 0.500) and F at (0.250, 0.250, 0.250).

The energy relative to the lowest polymorph listed for this composition comes out at 0.5658 eV per atom. The density of states at the Fermi level comes out at 0.0 states/eV/cell. The calculation puts the formation energy (no corrections) at -2.006 eV per atom. As for the final energy: -4.503 eV per atom. Its size of the total moment is 0.000 μB/atom.

***

10.
Density functional theory data (PBE) for a geometry-optimized K3Ce2TiS6 structure.

The space group is C2/m (No. 12) and the conventional cell measures 6.947, 12.036 and 7.740 Å, with angles of 90.00, 107.51 and 90.00 degrees. The inequivalent atoms are K at (0.000, 0.000, 0.000), K at (0.000, 0.332, 0.000), Ce at (0.000, 0.166, 0.500), Ti at (0.000, 0.500, 0.500), S at (0.222, 0.345, 0.700) and S at (0.243, 0.500, 0.301).

The density of states at the Fermi level comes out at 28.9 states/eV/cell. The calculation puts the formation energy (no corrections) at -1.611 eV per atom. As for the final energy: -5.596 eV per atom. Its size of the total moment is 0.250 μB/atom.

***

11.
Density functional theory data (PBE) for a geometry-optimized Ho2ZrTe structure.

The space group is R-3m (No. 166, hexagonal axes) and the conventional cell measures 3.6750, 3.6750 and 31.0178 Å, with angles of 90.00, 90.00 and 120.00 degrees. The inequivalent atoms are Ho at (0.0000, 0.0000, 0.0979), Zr at (0.0000, 0.0000, 0.0000) and Te at (0.0000, 0.0000, 0.5000).

The energy relative to the lowest polymorph listed for this composition comes out at 0.4870 eV per atom. The density of states at the Fermi level comes out at 12.5 states/eV/cell. The calculation puts the formation energy (no corrections) at 0.009 eV per atom. As for the final energy: -5.203 eV per atom. Its size of the total moment is 0.350 μB/atom.

***

12.
Density functional theory data (PBE) for a geometry-optimized BaSn2Cl6 structure.

The space group is C2/m (No. 12) and the conventional cell measures 13.492, 5.566 and 9.928 Å, with angles of 90.00, 120.89 and 90.00 degrees. The inequivalent atoms are Ba at (0.000, 0.000, 0.000), Sn at (0.198, 0.000, 0.648), Cl at (0.031, 0.000, 0.705), Cl at (0.145, 0.500, 0.052) and Cl at (0.247, 0.500, 0.681).

The density of states at the Fermi level comes out at 0.0 states/eV/cell. The calculation puts the formation energy (no corrections) at -1.499 eV per atom. As for the final energy: -3.833 eV per atom. Its size of the total moment is 0.000 μB/atom.